[1]
{"formula": "Zn5Cr", "functional": "GGA-PBEsol", "state": "relaxed", "final_energy_ev_per_cell": -17.54, "cell": [[4.9293, -1.2952, 0.0000], [4.9293, 1.2952, 0.0000], [-1.6817, 0.0000, 6.2238]], "species": ["Zn", "Zn", "Zn", "Zn", "Zn", "Cr"], "frac_coords": [[0.0000, 0.0000, 0.0000], [0.0598, 0.0598, 0.6194], [0.3898, 0.3898, 0.2929], [0.6690, 0.6690, 0.3361], [0.7302, 0.7302, 0.9366], [0.3341, 0.3341, 0.6623]]}



[2]
{"formula": "Zn3Cr", "functional": "GGA-PBEsol", "state": "relaxed", "final_energy_ev_per_cell": -14.18, "cell": [[2.8984, 0.0000, 0.0000], [0.0000, 2.8984, 0.0000], [0.0000, 0.0000, 6.5912]], "species": ["Zn", "Zn", "Zn", "Cr"], "frac_coords": [[0.0000, 0.0000, 0.0000], [0.5000, 0.5000, 0.2514], [0.5000, 0.5000, 0.7486], [0.0000, 0.0000, 0.5000]]}



[3]
{"formula": "ZrZn2Cr", "functional": "GGA-PBEsol", "state": "relaxed", "final_energy_ev_per_cell": -22.15, "cell": [[3.0307, 0.0000, 0.0000], [0.0000, 3.0307, 0.0000], [0.0000, 0.0000, 6.8682]], "species": ["Zr", "Zn", "Zn", "Cr"], "frac_coords": [[0.0000, 0.0000, 0.0000], [0.0000, 0.0000, 0.4779], [0.5000, 0.5000, 0.6952], [0.5000, 0.5000, 0.2599]]}



[4]
{"formula": "Zr4ZnCr", "functional": "GGA-PBEsol", "state": "relaxed", "final_energy_ev_per_cell": -44.59, "cell": [[0.0000, 3.9461, 3.9461], [3.9461, 0.0000, 3.9461], [3.9461, 3.9461, 0.0000]], "species": ["Zr", "Zr", "Zr", "Zr", "Zn", "Cr"], "frac_coords": [[0.3759, 0.3759, 0.3759], [0.3759, 0.3759, 0.8723], [0.3759, 0.8723, 0.3759], [0.8723, 0.3759, 0.3759], [0.0000, 0.0000, 0.0000], [0.7500, 0.7500, 0.7500]]}